A relaxed structure of PmSm4Dy6. Source: Alexandria, functional PBE-GGA.

Computed properties:
- E_form (eV per atom) = 0.4375
- ΔE to the lowest computed polymorph (eV per atom) = 0.1282

Unit cell a=7.711 b=7.711 c=8.500 alpha=116.97 beta=116.97 gamma=90.00
Element x y z (fractional)
Dy (0.500, 0.000, 0.000)
Dy (0.440, 0.932, 0.371)
Dy (0.068, 0.068, 0.629)
Dy (0.000, 0.500, 0.000)
Dy (0.932, 0.440, 0.371)
Dy (0.560, 0.560, 0.629)
Sm (0.247, 0.247, 0.151)
Sm (0.904, 0.904, 0.151)
Sm (0.753, 0.096, 0.849)
Sm (0.096, 0.753, 0.849)
Pm (0.500, 0.500, 0.000)

---

A relaxed structure of PmAlIn2Au5. Source: Alexandria, functional PBE-GGA.

Computed properties:
- E_form (eV per atom) = -0.2963

Unit cell a=4.813 b=6.114 c=8.185 alpha=111.93 beta=107.10 gamma=90.00
Element x y z (fractional)
Au (0.365, 0.593, 0.730)
Au (0.365, 0.137, 0.730)
Au (0.000, 0.000, 0.000)
Au (0.635, 0.407, 0.270)
Au (0.635, 0.863, 0.270)
In (0.195, 0.195, 0.390)
In (0.805, 0.805, 0.610)
Al (0.500, 0.000, 0.000)
Pm (0.000, 0.500, 0.000)

---

A relaxed structure of LaMoCl. Source: Alexandria, functional PBE-GGA.

Computed properties:
- uncorrected formation energy (eV per atom) = 0.5913
- ΔE to the lowest computed polymorph (eV per atom) = 0.4611

Unit cell a=4.553 b=4.553 c=4.553 alpha=60.00 beta=60.00 gamma=60.00
Element x y z (fractional)
Cl (0.000, 0.000, 0.000)
La (0.500, 0.500, 0.500)
Mo (0.750, 0.750, 0.750)

---

A relaxed structure of Tb2Dy8Ga. Source: Alexandria, functional PBE-GGA.

Computed properties:
- E_form (eV per atom) = -0.0256

Unit cell a=5.398 b=7.370 c=9.715 alpha=112.28 beta=106.13 gamma=90.00
Element x y z (fractional)
Dy (0.000, 0.245, 0.000)
Dy (0.816, 0.816, 0.631)
Dy (0.368, 0.607, 0.736)
Dy (0.632, 0.393, 0.264)
Dy (0.368, 0.128, 0.736)
Dy (0.184, 0.184, 0.369)
Dy (0.000, 0.755, 0.000)
Dy (0.632, 0.872, 0.264)
Ga (0.500, 0.000, 0.000)
Tb (0.808, 0.308, 0.615)
Tb (0.192, 0.692, 0.385)

---

| no. | uncorrected energy (eV per atom) | total moment (μB/f.u.) | ρ (g cm⁻³) |
| --- | --- | --- | --- |
| 1 | -4.221 | 0.00 | 7.37 |
| 2 | -3.669 | 0.00 | 10.86 |
| 3 | -5.277 | 0.01 | 6.73 |
| 4 | -4.490 | 0.00 | 8.21 |